i | The following is a GGA-PBE calculation of crystalline Th2MgHg2 at its relaxed geometry, from Alexandria via LeMat-Bulk.

Calculated volume = 27.219 A^3/atom

a = 4.405 Å, b = 6.393 Å, c = 9.666 Å
α = 90.00°, β = 90.00°, γ = 90.00°
Space group Immm (No. 71)
Unique sites:
Th1 0.000 0.000 0.211 (multiplicity 4)
Mg1 0.000 0.500 0.000 (multiplicity 2)
Hg1 0.000 0.271 0.500 (multiplicity 4)

***

ii | The following is a GGA-PBE calculation of crystalline Th2MgHg2 at its relaxed geometry, from Alexandria via LeMat-Bulk.

Calculated volume = 27.520 A^3/atom

a = 7.563 Å, b = 7.563 Å, c = 4.811 Å
α = 90.00°, β = 90.00°, γ = 90.00°
Space group P4/mbm (No. 127)
Unique sites:
Th1 0.163 0.337 0.000 (multiplicity 4)
Mg1 0.000 0.000 0.500 (multiplicity 2)
Hg1 0.142 0.642 0.500 (multiplicity 4)

***

Structures ranked by computed energy, the most stable listed first: ii, i.

***

i | The following is a GGA-PBE calculation of crystalline Mg2TiHg at its relaxed geometry, from Alexandria via LeMat-Bulk.

Calculated volume = 20.289 A^3/atom

a = 3.119 Å, b = 3.119 Å, c = 8.340 Å
α = 90.00°, β = 90.00°, γ = 90.00°
Space group P4/mmm (No. 123)
Unique sites:
Mg1 0.000 0.000 0.249 (multiplicity 2)
Ti1 0.500 0.500 0.500 (multiplicity 1)
Hg1 0.500 0.500 0.000 (multiplicity 1)

***

ii | The following is a GGA-PBE calculation of crystalline Mg2TiHg at its relaxed geometry, from Alexandria via LeMat-Bulk.

Calculated volume = 21.508 A^3/atom

a = 3.0439 Å, b = 3.0439 Å, c = 32.1649 Å
α = 90.00°, β = 90.00°, γ = 120.00°
Space group R-3m (No. 166, hexagonal axes)
Unique sites:
Mg1 0.0000 0.0000 0.0891 (multiplicity 6)
Ti1 0.0000 0.0000 0.0000 (multiplicity 3)
Hg1 0.0000 0.0000 0.5000 (multiplicity 3)

***

iii | The following is a GGA-PBE calculation of crystalline Mg2TiHg at its relaxed geometry, from Alexandria via LeMat-Bulk.

Calculated volume = 19.601 A^3/atom

a = 4.272 Å, b = 4.272 Å, c = 4.296 Å
α = 90.00°, β = 90.00°, γ = 90.00°
Space group P4/mmm (No. 123)
Unique sites:
Mg1 0.000 0.500 0.000 (multiplicity 2)
Ti1 0.000 0.000 0.500 (multiplicity 1)
Hg1 0.500 0.500 0.500 (multiplicity 1)

***

Structures ranked by computed energy, the most stable listed first: iii, i, ii.

***

i | The following is a GGA-PBE calculation of crystalline MgTi2Hg2 at its relaxed geometry, from Alexandria via LeMat-Bulk.

Calculated volume = 20.105 A^3/atom

a = 7.652 Å, b = 7.652 Å, c = 3.434 Å
α = 90.00°, β = 90.00°, γ = 90.00°
Space group P4/mbm (No. 127)
Unique sites:
Mg1 0.000 0.000 0.000 (multiplicity 2)
Ti1 0.167 0.333 0.500 (multiplicity 4)
Hg1 0.135 0.635 0.000 (multiplicity 4)

***

ii | The following is a GGA-PBE calculation of crystalline MgTi2Hg2 at its relaxed geometry, from Alexandria via LeMat-Bulk.

Calculated volume = 20.694 A^3/atom

a = 8.063 Å, b = 8.063 Å, c = 3.183 Å
α = 90.00°, β = 90.00°, γ = 90.00°
Space group P4/mbm (No. 127)
Unique sites:
Mg1 0.000 0.000 0.000 (multiplicity 2)
Ti1 0.112 0.388 0.000 (multiplicity 4)
Hg1 0.183 0.683 0.500 (multiplicity 4)

***

Structures ranked by computed energy, the most stable listed first: i, ii.

***

i | The following is a GGA-PBE calculation of crystalline MgTi3Hg at its relaxed geometry, from Alexandria via LeMat-Bulk.

Calculated volume = 25.436 A^3/atom

a = 5.029 Å, b = 5.029 Å, c = 5.029 Å
α = 90.00°, β = 90.00°, γ = 90.00°
Space group Pm-3m (No. 221)
Unique sites:
Mg1 0.000 0.000 0.000 (multiplicity 1)
Ti1 0.000 0.500 0.500 (multiplicity 3)
Hg1 0.500 0.500 0.500 (multiplicity 1)

***

ii | The following is a GGA-PBE calculation of crystalline MgTi3Hg at its relaxed geometry, from Alexandria via LeMat-Bulk.

Calculated volume = 21.706 A^3/atom

a = 4.770 Å, b = 4.770 Å, c = 4.770 Å
α = 90.00°, β = 90.00°, γ = 90.00°
Space group Pm-3m (No. 221)
Unique sites:
Mg1 0.000 0.000 0.000 (multiplicity 1)
Ti1 0.000 0.000 0.500 (multiplicity 3)
Hg1 0.500 0.500 0.500 (multiplicity 1)

***

Structures ranked by computed energy, the most stable listed first: i, ii.

***

i | The following is a GGA-PBE calculation of crystalline Mg3TiHg at its relaxed geometry, from Alexandria via LeMat-Bulk.

Calculated volume = 27.032 A^3/atom

a = 5.132 Å, b = 5.132 Å, c = 5.132 Å
α = 90.00°, β = 90.00°, γ = 90.00°
Space group Pm-3m (No. 221)
Unique sites:
Mg1 0.000 0.000 0.500 (multiplicity 3)
Ti1 0.500 0.500 0.500 (multiplicity 1)
Hg1 0.000 0.000 0.000 (multiplicity 1)

***

ii | The following is a GGA-PBE calculation of crystalline Mg3TiHg at its relaxed geometry, from Alexandria via LeMat-Bulk.

Calculated volume = 33.913 A^3/atom

a = 5.535 Å, b = 5.535 Å, c = 5.535 Å
α = 90.00°, β = 90.00°, γ = 90.00°
Space group Pm-3m (No. 221)
Unique sites:
Mg1 0.000 0.000 0.500 (multiplicity 3)
Ti1 0.000 0.000 0.000 (multiplicity 1)
Hg1 0.500 0.500 0.500 (multiplicity 1)

***

Structures ranked by computed energy, the most stable listed first: i, ii.

***

i | The following is a GGA-PBE calculation of crystalline Mg2Tl2Hg at its relaxed geometry, from Alexandria via LeMat-Bulk.

Calculated volume = 28.576 A^3/atom

a = 4.379 Å, b = 4.379 Å, c = 14.904 Å
α = 90.00°, β = 90.00°, γ = 90.00°
Space group I4/mmm (No. 139)
Unique sites:
Mg1 0.000 0.500 0.250 (multiplicity 4)
Tl1 0.000 0.000 0.103 (multiplicity 4)
Hg1 0.000 0.000 0.500 (multiplicity 2)

***

ii | The following is a GGA-PBE calculation of crystalline Mg2Tl2Hg at its relaxed geometry, from Alexandria via LeMat-Bulk.

Calculated volume = 27.944 A^3/atom

a = 4.356 Å, b = 4.356 Å, c = 14.725 Å
α = 90.00°, β = 90.00°, γ = 90.00°
Space group I4/mmm (No. 139)
Unique sites:
Mg1 0.000 0.000 0.097 (multiplicity 4)
Tl1 0.000 0.500 0.250 (multiplicity 4)
Hg1 0.000 0.000 0.500 (multiplicity 2)

***

Structures ranked by computed energy, the most stable listed first: ii, i.

***

i | The following is a GGA-PBE calculation of crystalline Mg2Tl2Hg at its relaxed geometry, from Alexandria via LeMat-Bulk.

Calculated volume = 26.535 A^3/atom

a = 8.930 Å, b = 8.930 Å, c = 3.327 Å
α = 90.00°, β = 90.00°, γ = 90.00°
Space group P4/mbm (No. 127)
Unique sites:
Mg1 0.136 0.364 0.000 (multiplicity 4)
Tl1 0.162 0.662 0.500 (multiplicity 4)
Hg1 0.000 0.000 0.500 (multiplicity 2)

***

ii | The following is a GGA-PBE calculation of crystalline Mg2Tl2Hg at its relaxed geometry, from Alexandria via LeMat-Bulk.

Calculated volume = 25.942 A^3/atom

a = 7.525 Å, b = 7.525 Å, c = 4.582 Å
α = 90.00°, β = 90.00°, γ = 90.00°
Space group P4/mbm (No. 127)
Unique sites:
Mg1 0.147 0.353 0.000 (multiplicity 4)
Tl1 0.160 0.660 0.500 (multiplicity 4)
Hg1 0.000 0.000 0.000 (multiplicity 2)

***

Structures ranked by computed energy, the most stable listed first: ii, i.

***

i | The following is a GGA-PBE calculation of crystalline Mg12Tl5Hg2 at its relaxed geometry, from Alexandria via LeMat-Bulk.

Calculated volume = 24.004 A^3/atom

a = 15.824 Å, b = 10.173 Å, c = 5.880 Å
α = 90.00°, β = 105.48°, γ = 90.00°
Space group C2/m (No. 12)
Unique sites:
Mg1 0.048 0.000 0.286 (multiplicity 4)
Mg2 0.099 0.248 0.635 (multiplicity 8)
Mg3 0.102 0.500 0.015 (multiplicity 4)
Mg4 0.194 0.241 0.210 (multiplicity 8)
Tl1 0.000 0.500 0.500 (multiplicity 2)
Tl2 0.183 0.000 0.864 (multiplicity 4)
Tl3 0.210 0.500 0.551 (multiplicity 4)
Hg1 0.000 0.250 0.000 (multiplicity 4)

***

ii | The following is a GGA-PBE calculation of crystalline Mg12Tl5Hg2 at its relaxed geometry, from Alexandria via LeMat-Bulk.

Calculated volume = 26.195 A^3/atom

a = 16.770 Å, b = 6.339 Å, c = 9.781 Å
α = 90.00°, β = 106.80°, γ = 90.00°
Space group C2/m (No. 12)
Unique sites:
Mg1 0.012 0.000 0.336 (multiplicity 4)
Mg2 0.086 0.500 0.276 (multiplicity 4)
Mg3 0.153 0.250 0.599 (multiplicity 8)
Mg4 0.187 0.254 0.106 (multiplicity 8)
Tl1 0.000 0.500 0.500 (multiplicity 2)
Tl2 0.155 0.000 0.853 (multiplicity 4)
Tl3 0.191 0.000 0.367 (multiplicity 4)
Hg1 0.000 0.245 0.000 (multiplicity 4)

***

Structures ranked by computed energy, the most stable listed first: i, ii.

***

i | The following is a GGA-PBE calculation of crystalline Mg2TlHg7 at its relaxed geometry, from Alexandria via LeMat-Bulk.

Calculated volume = 30.314 A^3/atom

a = 8.241 Å, b = 15.434 Å, c = 4.767 Å
α = 90.00°, β = 90.00°, γ = 90.00°
Space group Cmmm (No. 65)
Unique sites:
Mg1 0.000 0.191 0.000 (multiplicity 4)
Tl1 0.000 0.500 0.500 (multiplicity 2)
Hg1 0.000 0.000 0.000 (multiplicity 2)
Hg2 0.000 0.285 0.500 (multiplicity 4)
Hg3 0.189 0.383 0.000 (multiplicity 8)

***

ii | The following is a GGA-PBE calculation of crystalline Mg2TlHg7 at its relaxed geometry, from Alexandria via LeMat-Bulk.

Calculated volume = 25.547 A^3/atom

a = 5.934 Å, b = 26.159 Å, c = 3.291 Å
α = 90.00°, β = 90.07°, γ = 90.00°
Space group C2/m (No. 12)
Unique sites:
Mg1 0.000 0.203 0.000 (multiplicity 4)
Tl1 0.000 0.500 0.500 (multiplicity 2)
Hg1 0.000 0.000 0.000 (multiplicity 2)
Hg2 0.000 0.296 0.500 (multiplicity 4)
Hg3 0.249 0.394 0.000 (multiplicity 8)

***

Structures ranked by computed energy, the most stable listed first: ii, i.

***

i | The following is a GGA-PBE calculation of crystalline Mg7Tl4Hg at its relaxed geometry, from Alexandria via LeMat-Bulk.

Calculated volume = 24.594 A^3/atom

a = 3.3786 Å, b = 3.3786 Å, c = 29.8541 Å
α = 90.00°, β = 90.00°, γ = 120.00°
Space group P-3m1 (No. 164)
Unique sites:
Mg1 0.0000 0.0000 0.0000 (multiplicity 1)
Mg2 0.0000 0.0000 0.2550 (multiplicity 2)
Mg3 0.3333 0.6667 0.1698 (multiplicity 2)
Mg4 0.3333 0.6667 0.4250 (multiplicity 2)
Tl1 0.3333 0.6667 0.6601 (multiplicity 2)
Tl2 0.3333 0.6667 0.9152 (multiplicity 2)
Hg1 0.0000 0.0000 0.5000 (multiplicity 1)

***

ii | The following is a GGA-PBE calculation of crystalline Mg7Tl4Hg at its relaxed geometry, from Alexandria via LeMat-Bulk.

Calculated volume = 26.131 A^3/atom

a = 13.248 Å, b = 5.396 Å, c = 10.874 Å
α = 90.00°, β = 126.22°, γ = 90.00°
Space group C2/m (No. 12)
Unique sites:
Mg1 0.000 0.000 0.000 (multiplicity 2)
Mg2 0.076 0.500 0.318 (multiplicity 4)
Mg3 0.140 0.000 0.555 (multiplicity 4)
Mg4 0.213 0.500 0.891 (multiplicity 4)
Tl1 0.079 0.000 0.778 (multiplicity 4)
Tl2 0.224 0.000 0.336 (multiplicity 4)
Hg1 0.000 0.500 0.000 (multiplicity 2)

***

Structures ranked by computed energy, the most stable listed first: i, ii.

***

i | The following is a GGA-PBE calculation of crystalline Mg7Tl2Hg2 at its relaxed geometry, from Alexandria via LeMat-Bulk.

Calculated volume = 23.317 A^3/atom

a = 4.627 Å, b = 13.949 Å, c = 7.948 Å
α = 90.00°, β = 90.00°, γ = 90.00°
Space group Imm2 (No. 44)
Unique sites:
Mg1 0.000 0.000 0.000 (multiplicity 2)
Mg2 0.000 0.150 0.674 (multiplicity 4)
Mg3 0.000 0.330 0.442 (multiplicity 4)
Mg4 0.000 0.352 0.860 (multiplicity 4)
Tl1 0.000 0.000 0.383 (multiplicity 2)
Tl2 0.000 0.500 0.202 (multiplicity 2)
Hg1 0.000 0.206 0.142 (multiplicity 4)

***

ii | The following is a GGA-PBE calculation of crystalline Mg7Tl2Hg2 at its relaxed geometry, from Alexandria via LeMat-Bulk.

Calculated volume = 25.302 A^3/atom

a = 6.919 Å, b = 10.226 Å, c = 7.867 Å
α = 90.00°, β = 90.00°, γ = 90.00°
Space group Cmmm (No. 65)
Unique sites:
Mg1 0.000 0.000 0.000 (multiplicity 2)
Mg2 0.000 0.500 0.201 (multiplicity 4)
Mg3 0.250 0.250 0.294 (multiplicity 8)
Tl1 0.225 0.000 0.500 (multiplicity 4)
Hg1 0.000 0.271 0.000 (multiplicity 4)

***

Structures ranked by computed energy, the most stable listed first: i, ii.